No. 1
Here is an optimized crystal structure of MgV3Se from Alexandria. Energies are from PBE.

Cell lengths 4.7148, 4.7148, 4.7148 Å; angles 90.00, 90.00, 90.00 degrees
Last column: magnetic moment on the atom in μB.
Atoms (fractional coordinates):
Mg 0.0000 0.0000 0.0000  0.00
Se 0.5000 0.5000 0.5000  -0.15
V 0.0000 0.5000 0.0000  1.92
V 0.0000 0.0000 0.5000  1.92
V 0.5000 0.0000 0.0000  1.92

Calculated values
formation energy (no corrections) = 1.631 eV per atom
crystal system = cubic
uncorrected energy = -24.28 eV for the cell shown
magnetic moment = 1.34 μB per atom
E above lowest polymorph = 1.110 eV/atom

No. 2
Here is an optimized crystal structure of BeTcMo2 from Alexandria. Energies are from PBE.

Cell lengths 3.1675, 3.1675, 5.5603 Å; angles 90.00, 90.00, 90.00 degrees
Atoms (fractional coordinates):
Be 0.5000 0.5000 0.7425
Mo 0.0000 0.0000 0.9769
Mo 0.5000 0.5000 0.2490
Tc 0.0000 0.0000 0.5316

Calculated values
crystal system = tetragonal
uncorrected energy = -35.60 eV for the cell shown
ΔE_f = 0.04 eV per atom
magnetic moment = 0.00 μB per atom